VASP calculation (PBE with a Hubbard U) on a relaxed structure of VSbRhO6.

Output
DOS(E_F): 4.5 states/eV/f.u.
size of the total moment: 1.0 μB/f.u.
V: 11.01 Å³/atom
E: -60.1 eV/f.u.

Structure (CIF):
```
data_VSbRhO6
_cell_length_a 5.1471
_cell_length_b 5.1471
_cell_length_c 8.6373
_cell_angle_alpha 90.00
_cell_angle_beta 90.00
_cell_angle_gamma 120.00
_symmetry_space_group_name_H-M 'P -3 1 c'
_symmetry_Int_Tables_number 163
_symmetry_space_group_name_Hall '-P 3 2c'
loop_
_atom_site_label
_atom_site_type_symbol
_atom_site_fract_x
_atom_site_fract_y
_atom_site_fract_z
_atom_site_occupancy
V1 V 0.3333 0.6667 0.2500 1
Sb1 Sb 0.3333 0.6667 0.7500 1
Rh1 Rh 0.0000 0.0000 0.0000 1
O1 O 0.0062 0.3454 0.1277 1
```